No. 1
Density functional theory data (PBE) for BaTlGeAs after structural relaxation.

a b c (Å): 4.450 4.993 11.987
angles (deg): 90.00 106.37 90.00
Fractional positions:
Ba (0.992, 0.000, 0.388)
Ba (0.992, 0.500, 0.888)
Tl (0.179, 0.000, 0.117)
Tl (0.179, 0.500, 0.617)
Ge (0.454, 0.000, 0.726)
Ge (0.454, 0.500, 0.226)
As (0.520, 0.000, 0.938)
As (0.520, 0.500, 0.438)

Energy relative to the elements   -0.37 eV per atom


No. 2
Density functional theory data (PBE) for BaTlGeAs after structural relaxation.

a b c (Å): 6.394 4.060 10.918
angles (deg): 90.00 115.11 90.00
Fractional positions:
Ba (0.709, 0.000, 0.176)
Ba (0.709, 0.500, 0.676)
Tl (0.289, 0.000, 0.766)
Tl (0.289, 0.500, 0.266)
Ge (0.107, 0.000, 0.996)
Ge (0.107, 0.500, 0.496)
As (0.848, 0.000, 0.490)
As (0.848, 0.500, 0.990)

Energy relative to the elements   -0.40 eV per atom


No. 3
Density functional theory data (PBE) for BaTlGeAs after structural relaxation.

a b c (Å): 4.108 4.919 6.509
angles (deg): 108.60 99.60 90.90
Fractional positions:
Ba (0.025, 0.346, 0.251)
Tl (0.563, 0.679, 0.835)
Ge (0.148, 0.116, 0.695)
As (0.574, 0.906, 0.434)

Energy relative to the elements   -0.43 eV per atom


No. 4
Density functional theory data (PBE) for BaGeAsW2 after structural relaxation.

a b c (Å): 4.729 5.997 4.729
angles (deg): 90.00 90.00 90.00
Fractional positions:
As (0.000, 0.000, 0.000)
Ge (0.500, 0.500, 0.500)
Ba (0.000, 0.500, 0.000)
W (0.000, 0.000, 0.500)
W (0.500, 0.000, 0.000)

Energy relative to the elements   1.29 eV per atom


Look up the energy relative to the elements of the second one. -0.40 eV per atom